Run 1
Computed, not measured: a relaxed Si5Os crystal at the PBE level of DFT.

Cell and atoms, written as POSCAR:
```
Si5Os
1.0
0.147 -3.669 -3.308
-3.766 -0.655 -3.132
0.573 1.023 -4.801
Si Os
5 1
direct
0.250 0.250 0.250 Si
0.624 0.624 0.624 Si
0.624 0.624 0.129 Si
0.129 0.624 0.624 Si
0.624 0.129 0.624 Si
0.000 0.000 0.000 Os
```

Computed properties:
D(E_F)   5.0 states/eV/cell

=====

Run 2
Computed, not measured: a relaxed Si5Os crystal at the PBE level of DFT.

Cell and atoms, written as POSCAR:
```
Si5Os
1.0
-3.431 1.652 2.709
-0.972 -3.064 -3.392
0.684 -3.622 3.075
Si Os
5 1
direct
0.333 0.667 0.000 Si
0.667 0.333 0.000 Si
0.500 0.000 0.500 Si
0.000 0.500 0.500 Si
0.500 0.500 0.500 Si
0.000 0.000 0.000 Os
```

Computed properties:
D(E_F)   4.4 states/eV/cell

=====

Run 3
Computed, not measured: a relaxed Si5Os crystal at the PBE level of DFT.

Cell and atoms, written as POSCAR:
```
Si5Os
1.0
1.555 -6.023 0.000
1.555 6.023 0.000
0.000 0.000 4.556
Si Os
5 1
direct
0.346 0.654 0.000 Si
0.673 0.327 0.000 Si
0.439 0.561 0.500 Si
0.763 0.237 0.500 Si
0.101 0.899 0.500 Si
0.012 0.988 0.000 Os
```

Computed properties:
D(E_F)   2.0 states/eV/cell

=====

It turns out run 3 is the most stable, with the second structure 56.3 kJ/mol of atoms higher.

=====

Run 1
Computed, not measured: a relaxed SmSi3Os crystal at the PBE level of DFT.

Cell and atoms, written as POSCAR:
```
SmSi3Os
1.0
-0.969 3.564 4.460
-2.177 -5.365 0.105
5.054 -1.998 2.695
Sm Si Os
2 6 2
direct
0.243 0.756 0.750 Sm
0.757 0.244 0.250 Sm
0.761 0.761 0.000 Si
0.239 0.239 0.500 Si
0.359 0.641 0.250 Si
0.239 0.239 0.000 Si
0.641 0.359 0.750 Si
0.761 0.761 0.500 Si
0.877 0.123 0.750 Os
0.123 0.877 0.250 Os
```

Computed properties:
D(E_F)   5.0 states/eV/cell

=====

Run 2
Computed, not measured: a relaxed SmSi3Os crystal at the PBE level of DFT.

Cell and atoms, written as POSCAR:
```
SmSi3Os
1.0
5.810 0.008 0.000
2.732 5.128 0.000
-4.271 -2.568 2.987
Sm Si Os
1 3 1
direct
0.997 0.997 0.000 Sm
0.419 0.419 0.000 Si
0.262 0.762 0.500 Si
0.762 0.262 0.500 Si
0.654 0.654 0.000 Os
```

Computed properties:
D(E_F)   1.5 states/eV/cell

=====

It turns out run 2 is the most stable, with the second structure 6.9 kJ/mol of atoms higher.

=====

Run 1
Computed, not measured: a relaxed TaSi3Os crystal at the PBE level of DFT.

Cell and atoms, written as POSCAR:
```
TaSi3Os
1.0
4.755 0.000 0.000
0.000 4.755 0.000
0.000 0.000 4.755
Si Os Ta
3 1 1
direct
0.000 0.500 0.000 Si
0.000 0.000 0.500 Si
0.500 0.000 0.000 Si
0.500 0.500 0.500 Os
0.000 0.000 0.000 Ta
```

Computed properties:
D(E_F)   2.9 states/eV/cell

=====

Run 2
Computed, not measured: a relaxed TaSi3Os crystal at the PBE level of DFT.

Cell and atoms, written as POSCAR:
```
TaSi3Os
1.0
4.591 0.000 0.000
0.000 4.591 0.000
0.000 0.000 4.591
Si Os Ta
3 1 1
direct
0.000 0.500 0.000 Si
0.000 0.000 0.500 Si
0.500 0.000 0.000 Si
0.000 0.000 0.000 Os
0.500 0.500 0.500 Ta
```

Computed properties:
D(E_F)   7.2 states/eV/cell

=====

It turns out run 2 is the most stable, with the second structure 56.0 kJ/mol of atoms higher.